1.
The following is a DFT calculation (PBE with a Hubbard U) of a relaxed K2MnAsO4 crystal.

## Properties
SG   Fddd
Total magnetization   9.3 μB/cell

Unit cell a=5.5442 b=6.7540 c=10.6573 alpha=83.87 beta=74.92 gamma=65.77
Element x y z (fractional)
K: 0.1824 0.0000 0.6351
K: 0.8176 0.0000 0.3649
K: 0.5676 0.5000 0.8649
K: 0.9324 0.5000 0.1351
Mn: 0.7500 0.5000 0.5000
Mn: 0.0000 0.0000 0.0000
As: 0.2500 0.5000 0.5000
As: 0.5000 0.0000 0.0000
O: 0.3319 0.8264 0.0823
O: 0.2405 0.1736 0.9177
O: 0.8417 0.8264 0.9177
O: 0.5858 0.1736 0.0823
O: 0.4181 0.6736 0.4177
O: 0.5095 0.3263 0.5823
O: 0.9083 0.6736 0.5823
O: 0.1642 0.3263 0.4177

=====

2.
The following is a DFT calculation (PBE with a Hubbard U) of a relaxed KMnAs2O6 crystal.

## Properties
SG   C2/c
Total magnetization   9.7 μB/cell

Unit cell a=6.1107 b=8.2921 c=8.2921 alpha=71.92 beta=56.74 gamma=56.74
Element x y z (fractional)
K: 0.2500 0.7016 0.2984
K: 0.7500 0.2984 0.7016
Mn: 0.2500 0.0967 0.9033
Mn: 0.7500 0.9033 0.0967
As: 0.3663 0.7998 0.6226
As: 0.1337 0.3774 0.2002
As: 0.6337 0.2002 0.3774
As: 0.8663 0.6226 0.7998
O: 0.1043 0.9595 0.8143
O: 0.3957 0.1857 0.0405
O: 0.8957 0.0405 0.1857
O: 0.6043 0.8143 0.9595
O: 0.4133 0.9094 0.4013
O: 0.0867 0.5987 0.0906
O: 0.5867 0.0906 0.5987
O: 0.9133 0.4013 0.9094
O: 0.2190 0.6379 0.6591
O: 0.2810 0.3409 0.3621
O: 0.7810 0.3621 0.3409
O: 0.7190 0.6591 0.6379

=====

Number 1: DOS at the Fermi energy 2.61 states/eV/cell, electronic total energy -0.4084 Ry/atom. Number 2: DOS at the Fermi energy 3.02 states/eV/cell, electronic total energy -0.4536 Ry/atom.